Material: ReBiW2F
Method: DFT, PBE+U
State: relaxed

Computed properties:
Total magnetization in μB per formula unit: 2.8
V in A^3/atom: 25.3
Crystal system: tetragonal
Final energy in eV per cell: -23.29

```
ReBiW2F
1.0
5.441 0.000 0.000
0.000 4.277 0.000
0.000 0.000 5.441
Re W F Bi
1 2 1 1
Cartesian
2.720 2.138 2.720
0.000 0.000 2.720
2.720 0.000 0.000
0.000 2.138 0.000
0.000 0.000 0.000
```